*P*
SnBiB3 | PBE | relaxed

a = 4.7202 Å, b = 4.7202 Å, c = 4.7202 Å
α = 90.00°, β = 90.00°, γ = 90.00°
Closest atoms and distances in Å follow each position.
Fractional coordinates of all 5 atoms:
1 B 0.5000 0.0000 0.0000  2 Bi 2.36
2 Sn 0.5000 0.5000 0.5000  12 B 3.34
3 B 0.0000 0.5000 0.0000  2 Bi 2.36
4 B 0.0000 0.0000 0.5000  2 Bi 2.36
5 Bi 0.0000 0.0000 0.0000  6 B 2.36

Summary:
volume	105	Å³/cell
symmetry	Pm-3m (221)

*Q*
SnBiB3 | PBE | relaxed

a = 4.5525 Å, b = 4.5525 Å, c = 4.5525 Å
α = 90.00°, β = 90.00°, γ = 90.00°
Closest atoms and distances in Å follow each position.
Fractional coordinates of all 5 atoms:
1 B 0.5000 0.0000 0.0000  2 Sn 2.28
2 B 0.0000 0.0000 0.5000  2 Sn 2.28
3 Bi 0.5000 0.5000 0.5000  12 B 3.22
4 B 0.0000 0.5000 0.0000  2 Sn 2.28
5 Sn 0.0000 0.0000 0.0000  6 B 2.28

Summary:
volume	94	Å³/cell
symmetry	Pm-3m (221)

The winner here is *Q*, beating the second structure by 342 meV per atom.

*P*
Sr2BiB | PBE | relaxed

a = 8.4638 Å, b = 8.4638 Å, c = 6.9681 Å
α = 52.60°, β = 52.60°, γ = 90.00°
Closest atoms and distances in Å follow each position.
Fractional coordinates of all 8 atoms:
1 Bi 0.0000 0.0000 0.0000  8 Sr 3.47-3.78, 2 B 3.57
2 Sr 0.1818 0.6250 0.2500  2 B 2.82
3 Sr 0.5682 0.1250 0.2500  2 B 2.82
4 Bi 0.7500 0.2500 0.5000  8 Sr 3.47-3.78, 2 B 3.57
5 Sr 0.8750 0.8182 0.7500  2 B 2.82
6 B 0.2500 0.7500 0.5000  4 Sr 2.82
7 Sr 0.3750 0.4318 0.7500  2 B 2.82
8 B 0.5000 0.5000 0.0000  4 Sr 2.82

Summary:
volume	256	Å³/cell
symmetry	I-42d (122)

*Q*
Sr2BiB | PBE | relaxed

a = 5.5262 Å, b = 5.5262 Å, c = 5.5262 Å
α = 60.00°, β = 60.00°, γ = 60.00°
Closest atoms and distances in Å follow each position.
Fractional coordinates of all 4 atoms:
1 Sr 0.2500 0.2500 0.2500  4 Bi 3.38, 4 B 3.38
2 Sr 0.7500 0.7500 0.7500  4 B 3.38, 4 Bi 3.38
3 B 0.0000 0.0000 0.0000  8 Sr 3.38
4 Bi 0.5000 0.5000 0.5000  8 Sr 3.38

Summary:
volume	119	Å³/cell
symmetry	Fm-3m (225)

The winner here is *Q*, beating the second structure by 83 meV per atom.

*P*
Tc2BiB | PBE | relaxed

a = 4.7918 Å, b = 4.7918 Å, c = 7.4795 Å
α = 71.32°, β = 71.32°, γ = 90.00°
Closest atoms and distances in Å follow each position.
Fractional coordinates of all 8 atoms:
1 Tc 0.3750 0.5332 0.7500  2 B 2.10
2 Tc 0.4668 0.1250 0.2500  2 B 2.10
3 Bi 0.0000 0.0000 0.0000  4 Tc 2.84
4 B 0.5000 0.5000 0.0000  4 Tc 2.10
5 B 0.2500 0.7500 0.5000  4 Tc 2.10
6 Tc 0.8750 0.7168 0.7500  2 B 2.10
7 Bi 0.7500 0.2500 0.5000  4 Tc 2.84
8 Tc 0.2832 0.6250 0.2500  2 B 2.10

Summary:
volume	153	Å³/cell
symmetry	I-42d (122)

*Q*
Tc2BiB | PBE | relaxed

a = 4.4053 Å, b = 4.4053 Å, c = 4.4053 Å
α = 60.00°, β = 60.00°, γ = 60.00°
Closest atoms and distances in Å follow each position.
Fractional coordinates of all 4 atoms:
1 Tc 0.2500 0.2500 0.2500  4 Bi 2.70, 4 B 2.70
2 B 0.0000 0.0000 0.0000  8 Tc 2.70
3 Bi 0.5000 0.5000 0.5000  8 Tc 2.70
4 Tc 0.7500 0.7500 0.7500  4 Bi 2.70, 4 B 2.70

Summary:
volume	60	Å³/cell
symmetry	Fm-3m (225)

The winner here is *P*, beating the second structure by 214 meV per atom.

*P*
TcBi3B | PBE | relaxed

a = 5.2804 Å, b = 5.2804 Å, c = 5.2804 Å
α = 90.00°, β = 90.00°, γ = 90.00°
Closest atoms and distances in Å follow each position.
Fractional coordinates of all 5 atoms:
1 Bi 0.0000 0.5000 0.0000  2 Tc 2.64
2 Tc 0.0000 0.0000 0.0000  6 Bi 2.64
3 B 0.5000 0.5000 0.5000  12 Bi 3.73
4 Bi 0.5000 0.0000 0.0000  2 Tc 2.64
5 Bi 0.0000 0.0000 0.5000  2 Tc 2.64

Summary:
volume	147	Å³/cell
symmetry	Pm-3m (221)

*Q*
TcBi3B | PBE | relaxed

a = 4.9634 Å, b = 4.9634 Å, c = 4.9634 Å
α = 90.00°, β = 90.00°, γ = 90.00°
Closest atoms and distances in Å follow each position.
Fractional coordinates of all 5 atoms:
1 Tc 0.5000 0.5000 0.5000  12 Bi 3.51
2 Bi 0.0000 0.5000 0.0000  2 B 2.48
3 B 0.0000 0.0000 0.0000  6 Bi 2.48
4 Bi 0.5000 0.0000 0.0000  2 B 2.48
5 Bi 0.0000 0.0000 0.5000  2 B 2.48

Summary:
volume	122	Å³/cell
symmetry	Pm-3m (221)

The winner here is *Q*, beating the second structure by 116 meV per atom.